Material: Er3Co2Sn3
Method: DFT, PBE-GGA
State: optimized geometry

abc: 5.770 5.770 14.710
angles: 90.00 90.00 135.00
Positions (direct):
Er1 0.071 0.929 0.611
Er2 0.071 0.929 0.889
Er3 0.351 0.649 0.750
Er4 0.649 0.351 0.250
Er5 0.929 0.071 0.111
Er6 0.929 0.071 0.389
Co1 0.203 0.797 0.108
Co2 0.203 0.797 0.392
Co3 0.797 0.203 0.608
Co4 0.797 0.203 0.892
Sn1 0.351 0.649 0.250
Sn2 0.362 0.638 0.536
Sn3 0.362 0.638 0.964
Sn4 0.638 0.362 0.036
Sn5 0.638 0.362 0.464
Sn6 0.649 0.351 0.750

Computed properties:
The calculation puts the final energy at -5.540 eV/atom.

Material: Er7Co6Sn23
Method: DFT, PBE-GGA
State: optimized geometry

abc: 10.101 10.101 10.825
angles: 90.00 90.00 120.00
Positions (direct):
Er1 0.000 0.000 0.000
Er2 0.055 0.528 0.289
Er3 0.472 0.528 0.289
Er4 0.472 0.945 0.289
Er5 0.528 0.055 0.711
Er6 0.528 0.472 0.711
Er7 0.945 0.472 0.711
Co1 0.196 0.392 0.149
Co2 0.196 0.804 0.149
Co3 0.392 0.196 0.851
Co4 0.608 0.804 0.149
Co5 0.804 0.196 0.851
Co6 0.804 0.608 0.851
Sn1 0.000 0.000 0.500
Sn2 0.000 0.346 0.000
Sn3 0.000 0.654 0.000
Sn4 0.112 0.223 0.314
Sn5 0.112 0.888 0.314
Sn6 0.223 0.112 0.686
Sn7 0.228 0.456 0.558
Sn8 0.228 0.772 0.558
Sn9 0.333 0.667 0.097
Sn10 0.333 0.667 0.795
Sn11 0.346 0.000 0.000
Sn12 0.346 0.346 0.000
Sn13 0.456 0.228 0.442
Sn14 0.544 0.772 0.558
Sn15 0.654 0.000 0.000
Sn16 0.654 0.654 0.000
Sn17 0.667 0.333 0.205
Sn18 0.667 0.333 0.903
Sn19 0.772 0.228 0.442
Sn20 0.772 0.544 0.442
Sn21 0.777 0.888 0.314
Sn22 0.888 0.112 0.686
Sn23 0.888 0.777 0.686

Computed properties:
The calculation puts the final energy at -4.731 eV/atom.

Material: TbErCo2Sn
Method: DFT, PBE-GGA
State: optimized geometry

abc: 3.827 3.823 13.735
angles: 90.00 90.00 90.00
Positions (direct):
Tb1 0.000 0.000 0.000
Tb2 0.000 0.500 0.500
Er1 0.000 0.000 0.277
Er2 0.000 0.500 0.777
Co1 0.500 0.000 0.435
Co2 0.500 0.000 0.840
Co3 0.500 0.500 0.340
Co4 0.500 0.500 0.935
Sn1 0.500 0.000 0.639
Sn2 0.500 0.500 0.139

Computed properties:
The calculation puts the final energy at -5.917 eV/atom.

Material: ErTmCo2Sn
Method: DFT, PBE-GGA
State: optimized geometry

abc: 3.782 3.800 13.645
angles: 90.00 90.00 90.00
Positions (direct):
Er1 0.000 0.000 0.000
Er2 0.000 0.500 0.500
Tm1 0.000 0.000 0.722
Tm2 0.000 0.500 0.222
Co1 0.500 0.000 0.159
Co2 0.500 0.000 0.564
Co3 0.500 0.500 0.064
Co4 0.500 0.500 0.659
Sn1 0.500 0.000 0.361
Sn2 0.500 0.500 0.861

Computed properties:
The calculation puts the final energy at -5.901 eV/atom.

Material: YErCo2Sn
Method: DFT, PBE-GGA
State: optimized geometry

abc: 3.834 3.801 13.695
angles: 90.00 90.00 90.00
Positions (direct):
Y1 0.000 0.000 0.000
Y2 0.000 0.500 0.500
Er1 0.000 0.000 0.276
Er2 0.000 0.500 0.776
Co1 0.500 0.000 0.432
Co2 0.500 0.000 0.839
Co3 0.500 0.500 0.339
Co4 0.500 0.500 0.932
Sn1 0.500 0.000 0.638
Sn2 0.500 0.500 0.138

Computed properties:
The calculation puts the final energy at -6.285 eV/atom.

Material: TbErCo4
Method: DFT, PBE-GGA
State: optimized geometry

abc: 5.023 5.023 5.023
angles: 60.00 60.00 60.00
Positions (direct):
Tb1 0.000 0.000 0.000
Er1 0.250 0.250 0.250
Co1 0.126 0.625 0.625
Co2 0.625 0.126 0.625
Co3 0.625 0.625 0.126
Co4 0.625 0.625 0.625

Computed properties:
The calculation puts the final energy at -6.477 eV/atom.

Material: ErCoTc
Method: DFT, PBE-GGA
State: optimized geometry

abc: 6.235 6.235 6.235
angles: 90.00 90.00 90.00
Positions (direct):
Er1 0.000 0.000 0.000
Er2 0.000 0.500 0.500
Er3 0.500 0.000 0.500
Er4 0.500 0.500 0.000
Co1 0.250 0.250 0.750
Co2 0.250 0.750 0.250
Co3 0.750 0.250 0.250
Co4 0.750 0.750 0.750
Tc1 0.250 0.250 0.250
Tc2 0.250 0.750 0.750
Tc3 0.750 0.250 0.750
Tc4 0.750 0.750 0.250

Computed properties:
The calculation puts the final energy at -6.169 eV/atom.

Material: Er3CoTe5
Method: DFT, PBE-GGA
State: optimized geometry

abc: 8.529 8.529 3.696
angles: 90.00 90.00 120.00
Positions (direct):
Er1 0.000 0.647 0.000
Er2 0.353 0.353 0.000
Er3 0.647 0.000 0.000
Co1 0.000 0.000 0.000
Te1 0.000 0.225 0.500
Te2 0.225 0.000 0.500
Te3 0.333 0.667 0.500
Te4 0.667 0.333 0.500
Te5 0.775 0.775 0.500

Computed properties:
The calculation puts the final energy at -4.776 eV/atom. The energy relative to the lowest polymorph listed for this composition is 96.3 meV/atom.

Respective size of the total moment values: 0.1 0.0 2.4 2.3 2.5 3.7 12.8 0.0 Bohr magnetons per cell.